Record 1
A plane-wave DFT calculation with PBE-GGA was carried out for a relaxed Rb2HgS crystal.

Unit cell a=9.461 b=9.461 c=7.725 alpha=52.24 beta=52.24 gamma=90.00
Sites, in units of the cell vectors:
Rb: 0.566 0.125 0.250
Hg: 0.750 0.250 0.500
S: 0.500 0.500 0.000
Hg: 0.000 0.000 0.000
Rb: 0.875 0.816 0.750
S: 0.250 0.750 0.500
Rb: 0.184 0.625 0.250
Rb: 0.375 0.434 0.750

* calculated total energy: -17.17 eV per cell
* mass density: 3.88 g/cm3
* ΔE_f (raw): -0.555 eV per atom

=====

Record 2
A plane-wave DFT calculation with PBE-GGA was carried out for a relaxed SrNb2Ag crystal.

Unit cell a=4.927 b=4.927 c=4.927 alpha=60.00 beta=60.00 gamma=60.00
Sites, in units of the cell vectors:
Ag: 0.500 0.500 0.500
Nb: 0.750 0.750 0.750
Sr: 0.000 0.000 0.000
Nb: 0.250 0.250 0.250

* E_form: 1084 meV per atom
* calculated total energy: -20.33 eV per cell
* mass density: 7.49 g/cm3

=====

Record 3
A plane-wave DFT calculation with PBE-GGA was carried out for a relaxed La2BiH3 crystal.

Unit cell a=4.189 b=8.263 c=7.550 alpha=113.90 beta=90.00 gamma=104.68
Sites, in units of the cell vectors:
La: 0.473 0.947 0.735
La: 0.527 0.053 0.265
H: 0.060 0.119 0.411
La: 0.799 0.598 0.321
Bi: 0.134 0.268 0.051
H: 0.940 0.881 0.589
H: 0.404 0.808 0.380
H: 0.596 0.192 0.620
H: 0.692 0.384 0.476
La: 0.201 0.402 0.679
Bi: 0.866 0.732 0.949
H: 0.308 0.616 0.524

* calculated total energy: -56.53 eV per cell
* mass density: 7.09 g/cm3

=====

Look up the mass density of the second one. 7.49 g/cm3